The following is a GGA+U calculation of an optimized crystal structure of BeVSn2F, from Alexandria via LeMat-Bulk.

Unit cell a=4.7314 b=4.8119 c=4.7314 alpha=90.00 beta=90.00 gamma=90.00
Last column: nearest neighbours and their distance in Å.
Atoms (fractional coordinates):
1 Be 0.0000 0.0000 0.0000  4 Sn 2.37, 2 V 2.41
2 V 0.0000 0.5000 0.0000  2 Be 2.41
3 F 0.5000 0.5000 0.5000  4 V 3.35, 8 Sn 3.37
4 Sn 0.0000 0.0000 0.5000  2 Be 2.37
5 Sn 0.5000 0.0000 0.0000  2 Be 2.37

Calculated values
Spin magnetization   3.60 μB/f.u.
Uncorrected energy   -3.909 eV/atom